Density functional theory data (PBE) for an optimized crystal structure of Er2Sc7.

Cell and atoms, written as POSCAR:
```
Er2Sc7
1.0
5.738 0.000 0.000
-2.869 4.969 0.000
0.000 0.000 8.118
Er Sc
2 7
Direct
0.333 0.667 0.000 Er
0.667 0.333 0.000 Er
0.000 0.000 0.000 Sc
0.000 0.331 0.661 Sc
0.000 0.669 0.339 Sc
0.331 0.000 0.661 Sc
0.331 0.331 0.339 Sc
0.669 0.000 0.339 Sc
0.669 0.669 0.661 Sc
```

Calculated values
**Total magnetization**: 0.000 μB per atom
**Space group**: P-31m (162)
**DFT total energy**: -5.885 eV per atom
**DOS at the Fermi energy**: 14.9 states/eV/f.u.